i | Computed, not measured: Tl2PIr after structural relaxation at the PBE-GGA level of DFT.

Geometry as POSCAR:
```
Tl2PIr
1.0
-1.863 2.451 0.213
-1.759 -1.544 2.380
5.298 3.490 6.180
Ir P Tl
1 1 2
Cartesian
3.068 2.021 3.579
1.755 2.803 5.456
4.989 3.286 5.819
-0.189 1.522 3.189
```

space group: Pmm2

=====

ii | Computed, not measured: Tl2PIr after structural relaxation at the PBE-GGA level of DFT.

Geometry as POSCAR:
```
Tl2PIr
1.0
3.615 0.000 0.000
0.000 5.678 0.012
0.000 3.211 4.683
Ir P Tl
1 1 2
Cartesian
0.000 4.859 2.566
1.808 6.029 3.185
0.000 8.624 4.556
1.808 2.710 1.431
```

space group: Amm2

=====

iii | Computed, not measured: Tl2PIr after structural relaxation at the PBE-GGA level of DFT.

Geometry as POSCAR:
```
Tl2PIr
1.0
1.476 -1.341 4.430
-1.361 2.566 3.895
-3.182 -1.877 3.156
P Tl Ir
1 2 1
Cartesian
0.000 0.000 0.000
-0.767 -0.163 2.870
-2.300 -0.489 8.611
-1.533 -0.326 5.740
```

space group: Fm-3m

=====

Stability check: which of them is least stable? iii.